[1]
La2SiHg: relaxed, PBE-GGA.

Cell and atoms, written as POSCAR:
```
La2SiHg
1.0
3.9995 0.0000 0.0000
0.0000 5.2511 0.0000
0.0000 0.0000 5.2511
Hg La Si
1 2 1
direct
0.5000 0.0000 0.5000
0.0000 0.0000 0.0000
0.0000 0.5000 0.5000
0.5000 0.5000 0.0000
```

Output
ΔE_f (raw) ... -503 meV per atom

***

[2]
Fe2CoW: relaxed, PBE-GGA.

Cell and atoms, written as POSCAR:
```
Fe2CoW
1.0
-0.0339 -2.8420 -0.4003
2.3324 -0.5185 3.4830
-3.4679 -0.2799 2.2806
Co Fe W
1 2 1
direct
0.0000 0.5000 0.5000
0.0000 0.0000 0.0000
0.5000 0.5000 0.0000
0.5000 0.0000 0.5000
```

Output
Energy of formation from the pure elements ... 0.6 eV/f.u.
Distance to the lowest polymorph of the same formula ... 139 meV per atom

***

[3]
Rb3Mg2PaSe6: relaxed, PBE-GGA.

Cell and atoms, written as POSCAR:
```
Rb3Mg2PaSe6
1.0
-4.9358 0.6929 -5.1316
3.8348 -6.0191 0.4905
-5.1408 -1.3383 6.4220
Rb Mg Pa Se
3 2 1 6
direct
0.1688 0.8312 0.5000
0.8312 0.1688 0.5000
0.5000 0.5000 0.5000
0.3337 0.6663 0.0000
0.6663 0.3337 0.0000
0.0000 0.0000 0.0000
0.9367 0.6055 0.8107
0.7325 0.7325 0.1903
0.0633 0.3945 0.1893
0.6055 0.9367 0.8107
0.2675 0.2675 0.8097
0.3945 0.0633 0.1893
```

Output
ΔE_f (raw) ... -1313 meV per atom

***

[4]
Pa2ClF8: relaxed, PBE-GGA.

Cell and atoms, written as POSCAR:
```
Pa2ClF8
1.0
7.1889 -0.1193 1.9132
1.5371 5.3820 1.8228
0.3663 -0.3915 5.8620
F Pa Cl
8 2 1
direct
0.3566 0.5565 0.1699
0.6434 0.8301 0.4435
0.3369 0.1025 0.1025
0.6631 0.8975 0.8975
0.3566 0.1699 0.5565
0.6434 0.4435 0.8301
0.7026 0.3405 0.3405
0.2974 0.6595 0.6595
0.5984 0.1694 0.1694
0.4016 0.8306 0.8306
0.0000 0.0000 0.0000
```

Output
ΔE_f (raw) ... -3553 meV per atom
Distance to the lowest polymorph of the same formula ... 0 meV per atom

***

[5]
Sr2MgAl2Pt5: relaxed, PBE-GGA.

Cell and atoms, written as POSCAR:
```
Sr2MgAl2Pt5
1.0
-2.4546 -1.4638 1.8875
5.9397 1.2204 8.6711
-4.3785 9.4877 1.6639
Sr Mg Al Pt
4 2 4 10
direct
0.0000 0.6762 0.1762
0.0000 0.3238 0.8238
0.0000 0.1762 0.3238
0.0000 0.8238 0.6762
0.0000 0.0000 0.0000
0.0000 0.5000 0.5000
0.0000 0.1248 0.6248
0.0000 0.8752 0.3752
0.0000 0.6248 0.8752
0.0000 0.3752 0.1248
0.5000 0.2072 0.0614
0.5000 0.7928 0.9386
0.5000 0.0614 0.7928
0.5000 0.7072 0.4386
0.5000 0.9386 0.2072
0.5000 0.2928 0.5614
0.5000 0.5614 0.7072
0.5000 0.4386 0.2928
0.5000 0.5000 0.0000
0.5000 0.0000 0.5000
```

Output
Energy of formation from the pure elements ... -8.2 eV/f.u.

***

[6]
CaCu4Au: relaxed, PBE-GGA.

Cell and atoms, written as POSCAR:
```
CaCu4Au
1.0
-3.7374 3.2505 1.1102
-4.1636 -1.6418 2.3948
-0.8493 1.3401 4.8217
Au Ca Cu
1 1 4
direct
0.2500 0.2500 0.2500
0.0000 0.0000 0.0000
0.1270 0.6243 0.6243
0.6243 0.6243 0.6243
0.6243 0.1270 0.6243
0.6243 0.6243 0.1270
```

Output
Energy of formation from the pure elements ... -1.3 eV/f.u.

***

[7]
YZn2Au6: relaxed, PBE-GGA.

Cell and atoms, written as POSCAR:
```
YZn2Au6
1.0
-5.5276 -0.8466 -0.0980
3.2390 -2.2123 -3.9869
0.8421 -5.9600 3.9914
Y Zn Au
1 2 6
direct
0.0000 0.0000 0.0000
0.3333 0.6667 0.5000
0.6667 0.3333 0.5000
0.5000 0.0000 0.2034
0.5000 0.5000 0.2034
0.0000 0.5000 0.2034
0.5000 0.5000 0.7966
0.0000 0.5000 0.7966
0.5000 0.0000 0.7966
```

Output
Energy of formation from the pure elements ... -2.6 eV/f.u.

***

[8]
AcLa3Bi3: relaxed, PBE-GGA.

Cell and atoms, written as POSCAR:
```
AcLa3Bi3
1.0
-0.4523 0.2357 -9.9683
-8.4079 -5.3731 0.2544
-5.3600 8.4085 0.4420
Ac La Bi
4 12 12
direct
0.0706 0.5706 0.9294
0.9294 0.0706 0.5706
0.4294 0.4294 0.4294
0.5706 0.9294 0.0706
0.8192 0.3192 0.1808
0.9269 0.9269 0.9269
0.8212 0.6788 0.3212
0.1808 0.8192 0.3192
0.1788 0.1788 0.1788
0.3212 0.8212 0.6788
0.0731 0.4269 0.5731
0.3192 0.1808 0.8192
0.6788 0.3212 0.8212
0.6808 0.6808 0.6808
0.5731 0.0731 0.4269
0.4269 0.5731 0.0731
0.7452 0.6212 0.0018
0.8788 0.9982 0.2452
0.0018 0.7452 0.6212
0.1212 0.4982 0.2548
0.2548 0.1212 0.4982
0.2452 0.8788 0.9982
0.9982 0.2452 0.8788
0.3788 0.5018 0.7548
0.4982 0.2548 0.1212
0.6212 0.0018 0.7452
0.7548 0.3788 0.5018
0.5018 0.7548 0.3788
```

Output
Energy of formation from the pure elements ... -6.2 eV/f.u.
Distance to the lowest polymorph of the same formula ... 0 meV per atom

***

Results for E_tot: -4.3984, -9.0848, -4.3540, -6.8084, -5.0806, -3.8218, -3.4730, -5.2537 (in eV per atom, following the order of the records).